## AgAuCl4 (GGA-PBE)

Data for a geometry-optimized AgAuCl4 structure.

Cell: 8.281 8.281 8.281 Å, 90.00 90.00 90.00°
Space group F-43m (No. 216)
Symmetry-distinct sites (fractional):
Ag 0.000 0.000 0.000 [4 per cell]
Au 0.250 0.250 0.750 [4 per cell]
Cl 0.125 0.125 0.375 [16 per cell]

Spin magnetization   1.9 μB per formula unit
Raw formation energy   700 meV/atom

---

## Mg2Ga2Ni (GGA-PBE)

Data for a geometry-optimized Mg2Ga2Ni structure.

Cell: 9.684 4.071 9.911 Å, 90.00 116.18 90.00°
Space group C2/m (No. 12)
Symmetry-distinct sites (fractional):
Mg 0.004 0.000 0.170 [4 per cell]
Mg 0.189 0.000 0.620 [4 per cell]
Ga 0.028 0.500 0.385 [4 per cell]
Ga 0.158 0.500 0.057 [4 per cell]
Ni 0.213 0.500 0.836 [4 per cell]

Distance to the lowest polymorph of the same formula   0 meV per atom
Spin magnetization   0.0 μB per formula unit

---

## NaSnMoH (GGA-PBE)

Data for a geometry-optimized NaSnMoH structure.

Cell: 3.105 3.250 7.806 Å, 100.92 90.22 118.46°
Space group P1 (No. 1)
Symmetry-distinct sites (fractional):
Na 0.000 0.000 0.000 [1 per cell]
Sn 0.567 0.141 0.646 [1 per cell]
Mo 0.805 0.622 0.365 [1 per cell]
H 0.107 0.228 0.291 [1 per cell]

Distance to the lowest polymorph of the same formula   10 meV per atom
Spin magnetization   0.0 μB per formula unit

---

## ReAsIrSe2 (GGA-PBE)

Data for a geometry-optimized ReAsIrSe2 structure.

Cell: 4.758 4.758 4.803 Å, 90.00 90.00 90.00°
Space group P4/mmm (No. 123)
Symmetry-distinct sites (fractional):
Re 0.000 0.000 0.000 [1 per cell]
As 0.000 0.000 0.500 [1 per cell]
Ir 0.500 0.500 0.500 [1 per cell]
Se 0.000 0.500 0.000 [2 per cell]

Distance to the lowest polymorph of the same formula   0 meV per atom
Spin magnetization   0.0 μB per formula unit
Raw formation energy   1256 meV/atom